Entry w
The following is a GGA-PBE calculation of a relaxed structure of HfHgBr6, from the Alexandria database.

Crystal system: triclinic
Spin magnetization: 0.00 μB per formula unit

Cell lengths 6.8620, 6.8770, 7.3785 Å; angles 62.01, 62.03, 60.16 degrees
Sites, in units of the cell vectors:
Hf (0.0000, 0.0000, 0.0000)
Hg (0.5000, 0.5000, 0.5000)
Br (0.0742, 0.3993, 0.7599)
Br (0.7687, 0.0732, 0.7608)
Br (0.6025, 0.2313, 0.2384)
Br (0.2313, 0.9268, 0.2392)
Br (0.9258, 0.6007, 0.2401)
Br (0.3975, 0.7687, 0.7616)


Entry x
The following is a GGA-PBE calculation of a relaxed structure of HfHgBr6, from the Alexandria database.

Crystal system: monoclinic
Spin magnetization: 0.00 μB per formula unit

Cell lengths 7.2530, 7.2530, 6.8620 Å; angles 92.79, 92.79, 118.99 degrees
Sites, in units of the cell vectors:
Hf (0.0000, 0.0000, 0.0000)
Hg (0.0000, 0.0000, 0.5000)
Br (0.2963, 0.9991, 0.2378)
Br (0.9991, 0.2963, 0.2378)
Br (0.0009, 0.7037, 0.7622)
Br (0.7037, 0.0009, 0.7622)
Br (0.2918, 0.2918, 0.8030)
Br (0.7082, 0.7082, 0.1970)


entry x is favored, and the nearest alternative lies 3.4 kJ/mol of atoms above it.


Entry w
The following is a GGA-PBE calculation of a relaxed structure of HfHg2Br8, from the Alexandria database.

Crystal system: monoclinic
Spin magnetization: 0.00 μB per formula unit

Cell lengths 6.6615, 8.3669, 8.3669 Å; angles 71.58, 93.79, 93.79 degrees
Sites, in units of the cell vectors:
Hf (0.0000, 0.0000, 0.0000)
Hg (0.7223, 0.2159, 0.2159)
Hg (0.2777, 0.7841, 0.7841)
Br (0.2226, 0.1175, 0.7306)
Br (0.2226, 0.7306, 0.1175)
Br (0.7774, 0.8825, 0.2694)
Br (0.3128, 0.6051, 0.6051)
Br (0.7774, 0.2694, 0.8825)
Br (0.2332, 0.1625, 0.1625)
Br (0.7668, 0.8375, 0.8375)
Br (0.6872, 0.3949, 0.3949)


Entry x
The following is a GGA-PBE calculation of a relaxed structure of HfHg2Br8, from the Alexandria database.

Crystal system: monoclinic
Spin magnetization: 0.00 μB per formula unit

Cell lengths 7.4975, 7.6627, 10.4538 Å; angles 109.28, 90.00, 119.29 degrees
Sites, in units of the cell vectors:
Hf (0.0000, 0.0000, 0.0000)
Hg (0.8291, 0.6582, 0.6521)
Hg (0.1709, 0.3418, 0.3479)
Br (0.9035, 0.2927, 0.1058)
Br (0.3892, 0.2927, 0.1058)
Br (0.0965, 0.7073, 0.8942)
Br (0.3530, 0.7061, 0.5301)
Br (0.6108, 0.7073, 0.8942)
Br (0.9604, 0.9208, 0.2383)
Br (0.0396, 0.0792, 0.7617)
Br (0.6470, 0.2939, 0.4699)


entry x is favored, and the nearest alternative lies 0.5 kJ/mol of atoms above it.


Entry w
The following is a GGA-PBE calculation of a relaxed structure of HfHgSeBr2, from the Alexandria database.

Crystal system: tetragonal
Spin magnetization: 0.00 μB per formula unit

Cell lengths 5.4085, 5.4085, 5.1169 Å; angles 90.00, 90.00, 90.00 degrees
Sites, in units of the cell vectors:
Se (0.0000, 0.0000, 0.5000)
Hf (0.0000, 0.0000, 0.0000)
Hg (0.5000, 0.5000, 0.5000)
Br (0.0000, 0.5000, 0.0000)
Br (0.5000, 0.0000, 0.0000)


Entry x
The following is a GGA-PBE calculation of a relaxed structure of HfHgSeBr2, from the Alexandria database.

Crystal system: tetragonal
Spin magnetization: 1.69 μB per formula unit

Cell lengths 5.3401, 5.3401, 5.3946 Å; angles 90.00, 90.00, 90.00 degrees
Site moments in Bohr magnetons follow the coordinates.
Sites, in units of the cell vectors:
Se (0.0000, 0.0000, 0.5000)  -0.08
Hf (0.5000, 0.5000, 0.5000)  1.14
Hg (0.0000, 0.0000, 0.0000)  0.01
Br (0.0000, 0.5000, 0.0000)  0.00
Br (0.5000, 0.0000, 0.0000)  0.00


entry w is favored, and the nearest alternative lies 133.1 kJ/mol of atoms above it.


Entry w
The following is a GGA-PBE calculation of a relaxed structure of Hf2IBr, from the Alexandria database.

Crystal system: tetragonal
Spin magnetization: 0.62 μB per formula unit

Cell lengths 4.7013, 4.7013, 9.9440 Å; angles 76.33, 76.33, 90.00 degrees
Site moments in Bohr magnetons follow the coordinates.
Sites, in units of the cell vectors:
I (0.0000, 0.0000, 0.0000)  0.00
I (0.7500, 0.2500, 0.5000)  0.00
Hf (0.6100, 0.1250, 0.2500)  0.18
Hf (0.1400, 0.6250, 0.2500)  0.18
Hf (0.3750, 0.3900, 0.7500)  0.18
Hf (0.8750, 0.8600, 0.7500)  0.18
Br (0.5000, 0.5000, 0.0000)  0.00
Br (0.2500, 0.7500, 0.5000)  0.00


Entry x
The following is a GGA-PBE calculation of a relaxed structure of Hf2IBr, from the Alexandria database.

Crystal system: cubic
Spin magnetization: 0.99 μB per formula unit

Cell lengths 4.9577, 4.9577, 4.9577 Å; angles 60.00, 60.00, 60.00 degrees
Site moments in Bohr magnetons follow the coordinates.
Sites, in units of the cell vectors:
I (0.5000, 0.5000, 0.5000)  0.02
Hf (0.2500, 0.2500, 0.2500)  0.30
Hf (0.7500, 0.7500, 0.7500)  0.30
Br (0.0000, 0.0000, 0.0000)  0.01


entry w is favored, and the nearest alternative lies 12.1 kJ/mol of atoms above it.


Entry w
The following is a GGA-PBE calculation of a relaxed structure of HfIBr3, from the Alexandria database.

Crystal system: orthorhombic
Spin magnetization: 0.00 μB per formula unit

Cell lengths 6.9497, 8.0190, 14.2102 Å; angles 90.00, 90.00, 90.00 degrees
Sites, in units of the cell vectors:
Hf (0.0000, 0.0000, 0.5000)
Hf (0.5000, 0.5000, 0.0000)
Hf (0.5000, 0.0000, 0.0000)
Hf (0.0000, 0.5000, 0.5000)
I (0.7680, 0.2500, 0.4027)
I (0.7320, 0.7500, 0.9027)
I (0.2320, 0.7500, 0.5973)
I (0.2680, 0.2500, 0.0973)
Br (0.2652, 0.0023, 0.8644)
Br (0.2348, 0.5023, 0.3644)
Br (0.2348, 0.9977, 0.3644)
Br (0.7348, 0.5023, 0.1356)
Br (0.7348, 0.9977, 0.1356)
Br (0.7652, 0.4977, 0.6356)
Br (0.7652, 0.0023, 0.6356)
Br (0.2652, 0.4977, 0.8644)
Br (0.7002, 0.2500, 0.9182)
Br (0.7998, 0.7500, 0.4182)
Br (0.2998, 0.7500, 0.0818)
Br (0.2002, 0.2500, 0.5818)


Entry x
The following is a GGA-PBE calculation of a relaxed structure of HfIBr3, from the Alexandria database.

Crystal system: orthorhombic
Spin magnetization: 0.00 μB per formula unit

Cell lengths 6.4118, 7.8852, 7.6099 Å; angles 89.98, 90.00, 90.01 degrees
Sites, in units of the cell vectors:
Hf (0.1780, 0.6739, 0.7007)
Hf (0.6779, 0.6789, 0.2007)
I (0.3804, 0.3694, 0.7009)
I (0.8804, 0.9835, 0.2006)
Br (0.4701, 0.4105, 0.2009)
Br (0.4248, 0.8152, 0.9477)
Br (0.9248, 0.5375, 0.4478)
Br (0.9701, 0.9422, 0.7007)
Br (0.9248, 0.5376, 0.9539)
Br (0.4249, 0.8152, 0.4537)


Entry y
The following is a GGA-PBE calculation of a relaxed structure of HfIBr3, from the Alexandria database.

Crystal system: cubic
Spin magnetization: 2.62 μB per formula unit

Cell lengths 5.8491, 5.8491, 5.8491 Å; angles 90.00, 90.00, 90.00 degrees
Site moments in Bohr magnetons follow the coordinates.
Sites, in units of the cell vectors:
I (0.0000, 0.0000, 0.0000)  0.01
Hf (0.5000, 0.5000, 0.5000)  1.54
Br (0.0000, 0.5000, 0.0000)  0.04
Br (0.0000, 0.0000, 0.5000)  0.04
Br (0.5000, 0.0000, 0.0000)  0.02


Entry z
The following is a GGA-PBE calculation of a relaxed structure of HfIBr3, from the Alexandria database.

Crystal system: cubic
Spin magnetization: 0.00 μB per formula unit

Cell lengths 5.3162, 5.3162, 5.3162 Å; angles 90.00, 90.00, 90.00 degrees
Sites, in units of the cell vectors:
I (0.5000, 0.5000, 0.5000)
Hf (0.0000, 0.0000, 0.0000)
Br (0.0000, 0.5000, 0.0000)
Br (0.0000, 0.0000, 0.5000)
Br (0.5000, 0.0000, 0.0000)


entry w is favored, and the nearest alternative lies 3.5 kJ/mol of atoms above it.


Entry w
The following is a GGA-PBE calculation of a relaxed structure of HfI2Br, from the Alexandria database.

Crystal system: tetragonal
Spin magnetization: 1.00 μB per formula unit

Cell lengths 10.5449, 10.5449, 7.9210 Å; angles 48.27, 48.27, 90.00 degrees
Site moments in Bohr magnetons follow the coordinates.
Sites, in units of the cell vectors:
I (0.7724, 0.1250, 0.2500)  -0.01
I (0.9776, 0.6250, 0.2500)  -0.01
I (0.3750, 0.2276, 0.7500)  -0.01
I (0.8750, 0.0224, 0.7500)  -0.01
Hf (0.0000, 0.0000, 0.0000)  0.69
Hf (0.7500, 0.2500, 0.5000)  0.69
Br (0.5000, 0.5000, 0.0000)  -0.01
Br (0.2500, 0.7500, 0.5000)  -0.01


Entry x
The following is a GGA-PBE calculation of a relaxed structure of HfI2Br, from the Alexandria database.

Crystal system: cubic
Spin magnetization: 0.99 μB per formula unit

Cell lengths 5.3136, 5.3136, 5.3136 Å; angles 60.00, 60.00, 60.00 degrees
Site moments in Bohr magnetons follow the coordinates.
Sites, in units of the cell vectors:
I (0.2500, 0.2500, 0.2500)  -0.04
I (0.7500, 0.7500, 0.7500)  -0.04
Hf (0.5000, 0.5000, 0.5000)  0.70
Br (0.0000, 0.0000, 0.0000)  -0.02


entry w is favored, and the nearest alternative lies 60.0 kJ/mol of atoms above it.


Entry w
The following is a GGA-PBE calculation of a relaxed structure of HfI2BrN, from the Alexandria database.

Crystal system: tetragonal
Spin magnetization: 0.83 μB per formula unit

Cell lengths 6.2208, 6.2208, 3.6589 Å; angles 90.00, 90.00, 90.00 degrees
Site moments in Bohr magnetons follow the coordinates.
Sites, in units of the cell vectors:
I (0.0000, 0.5000, 0.0000)  -0.03
I (0.5000, 0.0000, 0.0000)  -0.03
Hf (0.5000, 0.5000, 0.5000)  0.56
Br (0.0000, 0.0000, 0.0000)  0.00
N (0.0000, 0.0000, 0.5000)  -0.01


Entry x
The following is a GGA-PBE calculation of a relaxed structure of HfI2BrN, from the Alexandria database.

Crystal system: tetragonal
Spin magnetization: 1.23 μB per formula unit

Cell lengths 5.9189, 5.9189, 4.0197 Å; angles 90.00, 90.00, 90.00 degrees
Site moments in Bohr magnetons follow the coordinates.
Sites, in units of the cell vectors:
I (0.0000, 0.5000, 0.0000)  0.17
I (0.5000, 0.0000, 0.0000)  0.17
Hf (0.0000, 0.0000, 0.0000)  -0.01
Br (0.5000, 0.5000, 0.5000)  0.38
N (0.0000, 0.0000, 0.5000)  0.20


entry x is favored, and the nearest alternative lies 139.9 kJ/mol of atoms above it.


Entry w
The following is a GGA-PBE calculation of a relaxed structure of HfI2BrO, from the Alexandria database.

Crystal system: tetragonal
Spin magnetization: 1.09 μB per formula unit

Cell lengths 6.0685, 6.0685, 3.7383 Å; angles 90.00, 90.00, 90.00 degrees
Site moments in Bohr magnetons follow the coordinates.
Sites, in units of the cell vectors:
I (0.0000, 0.5000, 0.0000)  -0.03
I (0.5000, 0.0000, 0.0000)  -0.03
Hf (0.5000, 0.5000, 0.5000)  0.69
O (0.0000, 0.0000, 0.5000)  0.00
Br (0.0000, 0.0000, 0.0000)  0.03


Entry x
The following is a GGA-PBE calculation of a relaxed structure of HfI2BrO, from the Alexandria database.

Crystal system: tetragonal
Spin magnetization: 0.63 μB per formula unit

Cell lengths 5.8960, 5.8960, 3.9759 Å; angles 90.00, 90.00, 90.00 degrees
Site moments in Bohr magnetons follow the coordinates.
Sites, in units of the cell vectors:
I (0.0000, 0.5000, 0.0000)  0.08
I (0.5000, 0.0000, 0.0000)  0.08
Hf (0.0000, 0.0000, 0.0000)  0.02
O (0.0000, 0.0000, 0.5000)  0.00
Br (0.5000, 0.5000, 0.5000)  0.30


entry x is favored, and the nearest alternative lies 173.6 kJ/mol of atoms above it.